Entry 1:
DFT (GGA-PBE) results for a relaxed structure of La6SmEr5.

Space group: Immm, No. 71
Calculated total energy (eV/atom): -4.736

extended XYZ file:
```
12
Lattice="-2.617 4.976 7.824 2.617 -4.976 7.824 2.617 4.976 -7.824" Properties=species:S:1:pos:R:3 pbc="T T T"
La 2.617 2.478 -2.610
La 0.000 2.468 0.000
La 2.617 2.478 2.610
La 0.000 2.498 5.215
La 0.000 7.483 0.000
La 0.000 2.498 10.434
Sm 0.000 0.000 7.824
Er 2.617 0.000 0.000
Er 0.000 0.000 2.614
Er 2.617 0.000 5.209
Er 0.000 4.976 2.616
Er 0.000 0.000 13.035
```

=====

Entry 2:
DFT (GGA-PBE) results for a relaxed structure of LaSmEr6.

Space group: C2/m, No. 12
Excess energy over the best structure of this formula in the dataset (meV per atom): 0.0

extended XYZ file:
```
8
Lattice="5.185 -3.316 0.000 5.185 3.316 0.000 -2.243 0.000 8.190" Properties=species:S:1:pos:R:3 pbc="T T T"
La 0.000 0.000 0.000
Sm -1.122 0.000 4.095
Er 2.666 1.605 1.661
Er 2.620 0.000 4.746
Er 5.461 1.605 6.530
Er 2.666 -1.605 1.661
Er 5.507 0.000 3.444
Er 5.461 -1.605 6.530
```